Computed, not measured: a geometry-optimized TaFeAu2 structure at the PBEsol level of DFT. Values from VASP.

```
&SYSTEM
  ibrav = 0, nat = 4, ntyp = 3
/
ATOMIC_SPECIES
Au 196.97 Au.upf
Fe 55.84 Fe.upf
Ta 180.95 Ta.upf
CELL_PARAMETERS angstrom
-1.751 -1.739 1.214
2.598 0.243 4.097
-2.698 3.755 1.488
ATOMIC_POSITIONS crystal
Au 0.000 0.000 0.500
Au 0.000 0.500 0.000
Fe 0.500 0.500 0.500
Ta 0.500 0.000 0.000
```

Properties
symmetry	P4/mmm, No. 123
calculated formation energy	0.214	eV per atom
energy above the lowest structure with this stoichiometry	0.73	eV/f.u.
V	16.2	Å³/atom